A geometry-optimized AcHoInCu structure. Source: Alexandria via LeMat-Bulk, functional GGA-PBE.

a b c (Å): 5.413 5.413 5.413
angles (deg): 60.00 60.00 60.00
Sites, in units of the cell vectors:
Ac1 0.000 0.000 0.000
Ho1 0.500 0.500 0.500
In1 0.250 0.250 0.250
Cu1 0.750 0.750 0.750

Calculated values
Density (kg/m³): 8442
Total energy (eV per atom): -4.081
SG: F-43m (216)
Energy relative to the elements (kJ per mole of atoms): -19.34
V (Å³/cell): 112.2

A geometry-optimized B2C structure. Source: Alexandria via LeMat-Bulk, functional GGA-PBE.

a b c (Å): 3.304 4.639 5.257
angles (deg): 90.66 106.55 90.35
Sites, in units of the cell vectors:
B1 0.000 0.000 0.000
B2 0.045 0.181 0.564
B3 0.259 0.412 0.375
B4 0.339 0.885 0.668
B5 0.628 0.214 0.763
B6 0.715 0.959 0.299
B7 0.847 0.503 0.612
B8 0.931 0.665 0.108
C1 0.180 0.668 0.860
C2 0.376 0.213 0.158
C3 0.489 0.721 0.441
C4 0.535 0.435 0.986

Calculated values
Density (kg/m³): 2893
Total energy (eV per atom): -7.135
SG: P1 (1)
Energy relative to the elements (kJ per mole of atoms): 37.73
Relative energy among the computed polymorphs (eV per atom): 0.2057
V (Å³/cell): 77.2

A geometry-optimized TiHgIr2 structure. Source: Alexandria via LeMat-Bulk, functional GGA-PBE.

a b c (Å): 5.787 5.787 5.787
angles (deg): 103.23 103.23 122.85
Sites, in units of the cell vectors:
Ti1 0.000 0.000 0.000
Ti2 0.750 0.250 0.500
Hg1 0.250 0.750 0.500
Hg2 0.500 0.500 0.000
Ir1 0.085 0.625 0.960
Ir2 0.375 0.335 0.460
Ir3 0.665 0.125 0.040
Ir4 0.875 0.915 0.540

Calculated values
Density (kg/m³): 14704
Total energy (eV per atom): -6.330
SG: I-42d (122)
Energy relative to the elements (kJ per mole of atoms): 14.47
Relative energy among the computed polymorphs (eV per atom): 0.3228
V (Å³/cell): 142.9

A geometry-optimized Cu2IrOs2 structure. Source: Alexandria via LeMat-Bulk, functional GGA-PBE.

a b c (Å): 7.107 7.107 7.107
angles (deg): 153.27 153.27 38.16
Sites, in units of the cell vectors:
Cu1 0.250 0.750 0.500
Cu2 0.750 0.250 0.500
Ir1 0.000 0.000 0.000
Os1 0.402 0.402 0.000
Os2 0.598 0.598 0.000

Calculated values
Density (kg/m³): 16022
Total energy (eV per atom): -7.132
SG: I4/mmm (139)
Energy relative to the elements (kJ per mole of atoms): 74.37
V (Å³/cell): 72.5

A geometry-optimized Cu3BiPd6 structure. Source: Alexandria via LeMat-Bulk, functional GGA-PBE.

a b c (Å): 8.251 3.918 10.646
angles (deg): 90.00 105.07 90.00
Sites, in units of the cell vectors:
Cu1 0.100 0.250 0.053
Cu2 0.277 0.750 0.436
Cu3 0.399 0.250 0.818
Cu4 0.601 0.750 0.182
Cu5 0.723 0.250 0.564
Cu6 0.900 0.750 0.947
Bi1 0.031 0.250 0.748
Bi2 0.969 0.750 0.252
Pd1 0.093 0.250 0.463
Pd2 0.217 0.750 0.925
Pd3 0.248 0.750 0.670
Pd4 0.280 0.750 0.196
Pd5 0.427 0.250 0.069
Pd6 0.432 0.250 0.580
Pd7 0.568 0.750 0.420
Pd8 0.573 0.750 0.931
Pd9 0.720 0.250 0.804
Pd10 0.752 0.250 0.330
Pd11 0.783 0.250 0.075
Pd12 0.907 0.750 0.537

Calculated values
Density (kg/m³): 10374
Total energy (eV per atom): -4.717
SG: P2_1/m (11)
Energy relative to the elements (kJ per mole of atoms): 1.55
V (Å³/cell): 332.3

A geometry-optimized NbAsSCl2 structure. Source: Alexandria via LeMat-Bulk, functional GGA-PBE.

a b c (Å): 4.963 4.963 4.846
angles (deg): 90.00 90.00 90.00
Sites, in units of the cell vectors:
Nb1 0.000 0.000 0.000
As1 0.500 0.500 0.500
S1 0.000 0.000 0.500
Cl1 0.000 0.500 0.000
Cl2 0.500 0.000 0.000

Calculated values
Density (kg/m³): 3768
Total energy (eV per atom): -4.594
Formation energy without anion corrections (kJ per mole of atoms): -8
SG: P4/mmm (123)
Relative energy among the computed polymorphs (eV per atom): 0.0000
V (Å³/cell): 119.3

A geometry-optimized ErAsH structure. Source: Alexandria via LeMat-Bulk, functional GGA-PBE.

a b c (Å): 4.831 4.831 3.821
angles (deg): 90.00 90.00 120.00
Sites, in units of the cell vectors:
Er1 0.000 0.000 0.000
As1 0.333 0.667 0.000
H1 0.333 0.667 0.500

Calculated values
Density (kg/m³): 5227
Total energy (eV per atom): -4.154
SG: P-6m2 (187)
Relative energy among the computed polymorphs (eV per atom): 0.8222
V (Å³/cell): 77.3

A geometry-optimized HoPuGeRh structure. Source: Alexandria via LeMat-Bulk, functional GGA-PBE.

a b c (Å): 4.949 4.949 4.949
angles (deg): 60.00 60.00 60.00
Sites, in units of the cell vectors:
Ho1 0.000 0.000 0.000
Pu1 0.500 0.500 0.500
Ge1 0.750 0.750 0.750
Rh1 0.250 0.250 0.250

Calculated values
Density (kg/m³): 11323
Total energy (eV per atom): -8.231
SG: F-43m (216)
Energy relative to the elements (kJ per mole of atoms): -49.33
V (Å³/cell): 85.7

A geometry-optimized CaEu3As structure. Source: Alexandria via LeMat-Bulk, functional GGA-PBE.

a b c (Å): 5.920 5.920 5.920
angles (deg): 90.00 90.00 90.00
Sites, in units of the cell vectors:
Ca1 0.000 0.000 0.000
Eu1 0.000 0.500 0.500
Eu2 0.500 0.000 0.500
Eu3 0.500 0.500 0.000
As1 0.500 0.500 0.500

Calculated values
Density (kg/m³): 4569
Total energy (eV per atom): -7.952
SG: Pm-3m (221)
Energy relative to the elements (kJ per mole of atoms): -44.12
V (Å³/cell): 207.5

A geometry-optimized KNaThS3 structure. Source: Alexandria via LeMat-Bulk, functional GGA-PBE.

a b c (Å): 7.708 4.229 10.043
angles (deg): 90.00 92.64 90.00
Sites, in units of the cell vectors:
K1 0.079 0.250 0.168
K2 0.921 0.750 0.832
Na1 0.225 0.750 0.500
Na2 0.775 0.250 0.500
Th1 0.413 0.250 0.812
Th2 0.587 0.750 0.188
S1 0.115 0.250 0.668
S2 0.302 0.750 0.984
S3 0.440 0.250 0.322
S4 0.560 0.750 0.678
S5 0.698 0.250 0.016
S6 0.885 0.750 0.332

Calculated values
Density (kg/m³): 3964
Total energy (eV per atom): -5.346
Formation energy without anion corrections (kJ per mole of atoms): -158
SG: P2_1/m (11)
V (Å³/cell): 327.0

A geometry-optimized Pm3Zr2TaN6 structure. Source: Alexandria via LeMat-Bulk, functional GGA-PBE.

a b c (Å): 5.792 5.792 5.990
angles (deg): 99.29 99.29 120.00
Sites, in units of the cell vectors:
Pm1 0.000 0.000 0.000
Pm2 0.332 0.668 0.000
Pm3 0.668 0.332 0.000
Zr1 0.167 0.833 0.500
Zr2 0.833 0.167 0.500
Ta1 0.500 0.500 0.500
N1 0.108 0.429 0.289
N2 0.250 0.250 0.714
N3 0.429 0.108 0.289
N4 0.571 0.892 0.711
N5 0.750 0.750 0.286
N6 0.892 0.571 0.711

Calculated values
Density (kg/m³): 8898
Total energy (eV per atom): -9.238
Formation energy without anion corrections (kJ per mole of atoms): -142
SG: C2/m (12)
V (Å³/cell): 164.7

A geometry-optimized CrWCl2 structure. Source: Alexandria via LeMat-Bulk, functional GGA-PBE.

a b c (Å): 3.408 3.408 9.300
angles (deg): 104.27 104.27 51.91
Sites, in units of the cell vectors:
Cr1 0.000 0.000 0.000
W1 0.822 0.822 0.184
Cl1 0.350 0.350 0.809
Cl2 0.467 0.467 0.398

Calculated values
Density (kg/m³): 6231
Total energy (eV per atom): -6.730
Formation energy without anion corrections (kJ per mole of atoms): -16
SG: Cm (8)
Relative energy among the computed polymorphs (eV per atom): 0.0000
V (Å³/cell): 81.7

A geometry-optimized Ac4CoTe3 structure. Source: Alexandria via LeMat-Bulk, functional GGA-PBE.

a b c (Å): 8.363 9.440 7.796
angles (deg): 90.00 109.23 90.00
Sites, in units of the cell vectors:
Ac1 0.207 0.109 0.008
Ac2 0.207 0.891 0.508
Ac3 0.230 0.341 0.473
Ac4 0.230 0.659 0.973
Ac5 0.770 0.341 0.027
Ac6 0.770 0.659 0.527
Ac7 0.793 0.109 0.492
Ac8 0.793 0.891 0.992
Co1 0.000 0.120 0.250
Co2 0.000 0.880 0.750
Te1 0.000 0.386 0.750
Te2 0.000 0.614 0.250
Te3 0.500 0.120 0.750
Te4 0.500 0.386 0.250
Te5 0.500 0.614 0.750
Te6 0.500 0.880 0.250

Calculated values
Density (kg/m³): 7714
Total energy (eV per atom): -5.212
Formation energy without anion corrections (kJ per mole of atoms): -105
SG: P2/c (13)
V (Å³/cell): 581.1

A geometry-optimized HoBiS3 structure. Source: Alexandria via LeMat-Bulk, functional GGA-PBE.

a b c (Å): 7.958 3.974 8.105
angles (deg): 90.00 94.72 90.00
Sites, in units of the cell vectors:
Ho1 0.164 0.250 0.137
Ho2 0.836 0.750 0.863
Bi1 0.286 0.250 0.581
Bi2 0.714 0.750 0.419
S1 0.115 0.750 0.371
S2 0.177 0.750 0.915
S3 0.476 0.250 0.318
S4 0.524 0.750 0.682
S5 0.823 0.250 0.085
S6 0.885 0.250 0.629

Calculated values
Density (kg/m³): 6112
Total energy (eV per atom): -5.326
Formation energy without anion corrections (kJ per mole of atoms): -112
SG: P2_1/m (11)
Relative energy among the computed polymorphs (eV per atom): 0.0292
V (Å³/cell): 255.4

A geometry-optimized BaFeOs2 structure. Source: Alexandria via LeMat-Bulk, functional GGA-PBE.

a b c (Å): 6.435 6.435 6.435
angles (deg): 39.00 39.00 39.00
Sites, in units of the cell vectors:
Ba1 0.000 0.000 0.000
Fe1 0.500 0.500 0.500
Os1 0.186 0.186 0.186
Os2 0.814 0.814 0.814

Calculated values
Density (kg/m³): 10037
Total energy (eV per atom): -7.828
SG: R-3m (166)
Energy relative to the elements (kJ per mole of atoms): 37.02
Relative energy among the computed polymorphs (eV per atom): 0.0455
V (Å³/cell): 94.9

A geometry-optimized SiTeH structure. Source: Alexandria via LeMat-Bulk, functional GGA-PBE.

a b c (Å): 3.982 3.982 5.025
angles (deg): 92.07 92.07 76.51
Sites, in units of the cell vectors:
Si1 0.000 0.000 0.000
Te1 0.404 0.404 0.162
H1 0.003 0.003 0.700

Calculated values
Density (kg/m³): 3361
Total energy (eV per atom): -3.817
SG: Cm (8)
V (Å³/cell): 77.4